No. 1
## Rb2In3Bi2 (PBE)

Data for a relaxed structure of Rb2In3Bi2.

density of states at the Fermi level: 0.425 states/eV/atom
total energy: -2.70 eV per atom
formation enthalpy at 0 K: -0.143 eV/atom
space group: C2/m (12)

Unit cell a=4.7225 b=7.8719 c=8.0067 alpha=93.06 beta=90.00 gamma=107.46
Closest atoms and distances in Å follow each position.
Element x y z (fractional)
Rb 0.8416 0.6832 0.2780  4 Bi 3.86-4.12, 6 In 3.98-4.10
Rb 0.1584 0.3168 0.7220  4 Bi 3.86-4.12, 6 In 3.98-4.10
In 0.5000 0.0000 0.0000  2 In 2.96
In 0.5551 0.1102 0.3605  2 In 2.85-2.96, 2 Bi 2.99
In 0.4449 0.8898 0.6395  2 In 2.85-2.96, 2 Bi 2.99
Bi 0.8598 0.7197 0.7940  2 In 2.99
Bi 0.1402 0.2803 0.2060  2 In 2.99


No. 2
## Cd2WBr (PBE)

Data for a relaxed structure of Cd2WBr.

density of states at the Fermi level: 0.602 states/eV/atom
total energy: -3.48 eV per atom
ΔE_f (raw): 0.6373 eV per atom
space group: Pm (6)

Unit cell a=4.5960 b=3.1383 c=5.8443 alpha=74.58 beta=90.00 gamma=90.00
Closest atoms and distances in Å follow each position.
Element x y z (fractional)
Br 0.5000 0.5711 0.7346  2 W 2.65
W 0.0000 0.6860 0.5016  2 Br 2.65, 1 Cd 2.90
Cd 0.0000 0.9462 0.9861  3 W 2.90-3.15, 4 Br 3.12, 6 Cd 3.14-3.24
Cd 0.5000 0.2967 0.2777  3 Br 3.01-3.06, 4 W 3.06, 6 Cd 3.14-3.24


No. 3
## Sc2CuTeC (PBE)

Data for a relaxed structure of Sc2CuTeC.

density of states at the Fermi level: 0.376 states/eV/atom
total energy: -6.35 eV per atom
ΔE_f (raw): -0.5243 eV per atom
space group: P4/mmm (123)

Unit cell a=4.6471 b=4.6471 c=3.9425 alpha=90.00 beta=90.00 gamma=90.00
Closest atoms and distances in Å follow each position.
Element x y z (fractional)
Sc 0.0000 0.5000 0.0000  2 C 2.32
Sc 0.5000 0.0000 0.0000  2 C 2.32
C 0.0000 0.0000 0.0000  2 Cu 1.97
Te 0.5000 0.5000 0.5000  8 Sc 3.05, 4 Cu 3.29
Cu 0.0000 0.0000 0.5000  2 C 1.97


No. 4
## Na2InHg6 (PBE)

Data for a relaxed structure of Na2InHg6.

density of states at the Fermi level: 0.547 states/eV/atom
total energy: -0.94 eV per atom
formation enthalpy at 0 K: -0.143 eV/atom
space group: P6/mmm (191)

Unit cell a=3.2983 b=9.0247 c=9.0247 alpha=120.00 beta=90.00 gamma=90.00
Closest atoms and distances in Å follow each position.
Element x y z (fractional)
Na 0.0000 0.3333 0.6667  2 Na 3.30, 12 Hg 3.43
Na 0.0000 0.6667 0.3333  2 Na 3.30, 12 Hg 3.43
In 0.0000 0.0000 0.0000  2 In 3.30, 12 Hg 3.43
Hg 0.5000 0.3333 0.3333  5 Hg 3.01-3.30
Hg 0.5000 0.6667 0.6667  5 Hg 3.01-3.30
Hg 0.5000 0.0000 0.6667  5 Hg 3.01-3.30
Hg 0.5000 0.6667 0.0000  5 Hg 3.01-3.30
Hg 0.5000 0.3333 0.0000  5 Hg 3.01-3.30
Hg 0.5000 0.0000 0.3333  5 Hg 3.01-3.30


No. 5
## BaP3Pd3 (PBE)

Data for a relaxed structure of BaP3Pd3.

density of states at the Fermi level: 0.502 states/eV/atom
total energy: -5.42 eV per atom
formation enthalpy at 0 K: -0.606 eV/atom
space group: Pm-3n (223)

Unit cell a=6.6635 b=6.6635 c=6.6635 alpha=90.00 beta=90.00 gamma=90.00
Closest atoms and distances in Å follow each position.
Element x y z (fractional)
P 0.0000 0.2500 0.5000  4 Pd 2.36
P 0.0000 0.7500 0.5000  4 Pd 2.36
P 0.5000 0.0000 0.7500  4 Pd 2.36
P 0.7500 0.5000 0.0000  4 Pd 2.36
P 0.5000 0.0000 0.2500  4 Pd 2.36
P 0.2500 0.5000 0.0000  4 Pd 2.36
Ba 0.5000 0.5000 0.5000  12 Pd 3.73, 12 P 3.73
Ba 0.0000 0.0000 0.0000  12 Pd 3.73, 12 P 3.73
Pd 0.2500 0.0000 0.5000  4 P 2.36
Pd 0.0000 0.5000 0.2500  4 P 2.36
Pd 0.5000 0.7500 0.0000  4 P 2.36
Pd 0.7500 0.0000 0.5000  4 P 2.36
Pd 0.0000 0.5000 0.7500  4 P 2.36
Pd 0.5000 0.2500 0.0000  4 P 2.36


No. 6
## Ce3MgRu4 (PBE)

Data for a relaxed structure of Ce3MgRu4.

density of states at the Fermi level: 0.947 states/eV/atom
total energy: -7.21 eV per atom
formation enthalpy at 0 K: -0.146 eV/atom
space group: Imm2 (44)

Unit cell a=6.1706 b=6.1706 c=6.1706 alpha=106.56 beta=98.13 gamma=125.00
Closest atoms and distances in Å follow each position.
Element x y z (fractional)
Ce 0.5687 0.2478 0.8165  1 Ru 2.35
Ce 0.9601 0.0000 0.9601  2 Ru 2.63
Ce 0.5687 0.7522 0.3209  1 Ru 2.35
Mg 0.0045 0.5000 0.5045  4 Ru 2.62-2.63
Ru 0.2847 0.6819 0.9665  1 Ce 2.35, 1 Mg 2.63
Ru 0.2847 0.3181 0.6028  1 Ce 2.35, 1 Mg 2.63
Ru 0.4751 0.2352 0.2398  1 Mg 2.62, 3 Ce 2.63-2.77, 3 Ru 2.68-2.73
Ru 0.0046 0.7648 0.2398  1 Mg 2.62, 3 Ce 2.63-2.77, 3 Ru 2.68-2.73


No. 7
## Er3Al2Fe7 (PBE)

Data for a relaxed structure of Er3Al2Fe7.

density of states at the Fermi level: 0.723 states/eV/atom
total energy: -6.94 eV per atom
formation enthalpy at 0 K: -0.237 eV/atom
space group: R-3m (166)

Unit cell a=5.1456 b=5.1456 c=8.5961 alpha=72.58 beta=72.58 gamma=60.00
Closest atoms and distances in Å follow each position.
Element x y z (fractional)
Er 0.0000 0.0000 0.0000  6 Al 2.97, 12 Fe 3.27
Er 0.8596 0.8596 0.4213  12 Fe 2.92-3.04, 3 Er 3.23
Er 0.1404 0.1404 0.5787  12 Fe 2.92-3.04, 3 Er 3.23
Al 0.6669 0.6669 0.9994  6 Fe 2.51
Al 0.3331 0.3331 0.0006  6 Fe 2.51
Fe 0.5000 0.5000 0.5000  6 Fe 2.50
Fe 0.9162 0.4167 0.2505  5 Fe 2.50-2.58, 2 Al 2.51
Fe 0.4167 0.9162 0.2505  5 Fe 2.50-2.58, 2 Al 2.51
Fe 0.4167 0.4167 0.2505  5 Fe 2.50-2.58, 2 Al 2.51
Fe 0.0838 0.5833 0.7495  5 Fe 2.50-2.58, 2 Al 2.51
Fe 0.5833 0.5833 0.7495  5 Fe 2.50-2.58, 2 Al 2.51
Fe 0.5833 0.0838 0.7495  5 Fe 2.50-2.58, 2 Al 2.51


No. 8
## Tm4TcTe (PBE)

Data for a relaxed structure of Tm4TcTe.

density of states at the Fermi level: 0.849 states/eV/atom
total energy: -5.77 eV per atom
ΔE_f (raw): -0.5370 eV per atom
space group: Pnma (62)

Unit cell a=4.1600 b=7.8566 c=19.2559 alpha=90.00 beta=90.00 gamma=90.00
Closest atoms and distances in Å follow each position.
Element x y z (fractional)
Tm 0.7500 0.8885 0.6406  2 Tc 2.82
Tm 0.2500 0.1115 0.3594  2 Tc 2.82
Tm 0.2500 0.6115 0.1406  2 Tc 2.82
Tm 0.7500 0.3885 0.8594  2 Tc 2.82
Tm 0.7500 0.8554 0.4608  3 Tc 2.95-3.14
Tm 0.2500 0.1446 0.5392  3 Tc 2.95-3.14
Tm 0.2500 0.6446 0.9608  3 Tc 2.95-3.14
Tm 0.7500 0.3554 0.0392  3 Tc 2.95-3.14
Tm 0.7500 0.0008 0.9345  3 Tc 2.85-3.11, 1 Te 3.14
Tm 0.2500 0.9992 0.0655  3 Tc 2.85-3.11, 1 Te 3.14
Tm 0.2500 0.4992 0.4345  3 Tc 2.85-3.11, 1 Te 3.14
Tm 0.7500 0.5008 0.5655  3 Tc 2.85-3.11, 1 Te 3.14
Tm 0.7500 0.9246 0.2066  1 Tc 3.12, 4 Te 3.16-3.20, 4 Tm 3.46-3.47
Tm 0.2500 0.0754 0.7934  1 Tc 3.12, 4 Te 3.16-3.20, 4 Tm 3.46-3.47
Tm 0.2500 0.5754 0.7066  1 Tc 3.12, 4 Te 3.16-3.20, 4 Tm 3.46-3.47
Tm 0.7500 0.4246 0.2934  1 Tc 3.12, 4 Te 3.16-3.20, 4 Tm 3.46-3.47
Tc 0.7500 0.2521 0.4396  9 Tm 2.82-3.14
Tc 0.2500 0.7479 0.5604  9 Tm 2.82-3.14
Tc 0.2500 0.2479 0.9396  9 Tm 2.82-3.14
Tc 0.7500 0.7521 0.0604  9 Tm 2.82-3.14
Te 0.7500 0.7670 0.8022  7 Tm 3.14-3.26
Te 0.2500 0.2330 0.1978  7 Tm 3.14-3.26
Te 0.2500 0.7330 0.3022  7 Tm 3.14-3.26
Te 0.7500 0.2670 0.6978  7 Tm 3.14-3.26